ZnSiAs2 (PBE, relaxed); E_form (uncorrected) = 0.36 eV/atom; density of states at the Fermi level = 1.23 states/eV per cell; space group = No. 35; total magnetic moment = 0.000 μB/cell
1.0
1.783 -2.255 0.000
1.783 2.255 0.000
0.000 0.000 8.980
Zn Si As
1 1 2
direct
0.000 0.000 0.000
0.500 0.500 0.778
0.000 0.000 0.551
0.500 0.500 0.218

=====

ZnSiAs2 (PBE, relaxed); E_form (uncorrected) = 0.42 eV/atom; density of states at the Fermi level = 2.29 states/eV per cell; space group = No. 166; total magnetic moment = 0.000 μB/cell
1.0
1.488 0.859 9.165
-1.488 0.859 9.165
0.000 -1.718 9.165
Zn Si As
1 1 2
direct
0.000 0.000 0.000
0.500 0.500 0.500
0.251 0.251 0.251
0.749 0.749 0.749

=====

ZnSi2As (PBE, relaxed); E_form (uncorrected) = 0.53 eV/atom; density of states at the Fermi level = 2.11 states/eV per cell; space group = No. 225; total magnetic moment = 0.000 μB/cell
1.0
0.000 3.217 3.217
3.217 0.000 3.217
3.217 3.217 0.000
Zn Si As
1 2 1
direct
0.000 0.000 0.000
0.250 0.250 0.250
0.750 0.750 0.750
0.500 0.500 0.500

=====

ZnSi2As (PBE, relaxed); E_form (uncorrected) = 0.45 eV/atom; density of states at the Fermi level = 1.69 states/eV per cell; space group = No. 47; total magnetic moment = 0.000 μB/cell
1.0
2.563 0.000 0.000
0.000 5.067 0.000
0.000 0.000 5.211
Zn Si As
1 2 1
direct
0.000 0.000 0.000
0.500 0.500 0.247
0.500 0.500 0.753
0.000 0.000 0.500